# Hf2BC PBE relaxed
# Fermi-level density of states (states/eV per cell): 4.6
# V (Å³ per atom): 13.0
# Formation enthalpy at 0 K (kJ/mol of atoms): -81.8
data_Hf2BC
_space_group_name_H-M_alt 'C m c m'
_space_group_IT_number 63
_space_group_name_Hall '-C 2c 2'
_cell_length_a 3.3850
_cell_length_b 18.9104
_cell_length_c 3.2377
_cell_angle_alpha 90.00
_cell_angle_beta 90.00
_cell_angle_gamma 90.00
loop_
_atom_site_label
_atom_site_type_symbol
_atom_site_fract_x
_atom_site_fract_y
_atom_site_fract_z
Hf1 Hf 0.0000 0.0701 0.2500
Hf2 Hf 0.0000 0.3084 0.2500
B1 B 0.0000 0.4742 0.2500
C1 C 0.0000 0.1890 0.2500

# PuHf2Pa8 PBE relaxed
# Fermi-level density of states (states/eV per cell): 51.0
# V (Å³ per atom): 25.1
# Formation enthalpy at 0 K (kJ/mol of atoms): 25.1
data_PuHf2Pa8
_space_group_name_H-M_alt 'C 1 2/m 1'
_space_group_IT_number 12
_cell_length_a 8.9825
_cell_length_b 11.3600
_cell_length_c 5.4045
_cell_angle_alpha 90.00
_cell_angle_beta 90.12
_cell_angle_gamma 90.00
loop_
_space_group_symop_operation_xyz
'x,y,z'
'-x,-y,-z'
'-x,y,-z'
'x,-y,z'
'x+1/2,y+1/2,z'
'-x+1/2,-y+1/2,-z'
'-x+1/2,y+1/2,-z'
'x+1/2,-y+1/2,z'
loop_
_atom_site_label
_atom_site_type_symbol
_atom_site_fract_x
_atom_site_fract_y
_atom_site_fract_z
Pu1 Pu 0.0000 0.0000 0.0000
Hf1 Hf 0.0000 0.3733 0.5000
Pa1 Pa 0.0000 0.2330 0.0000
Pa2 Pa 0.1572 0.1284 0.5007
Pa3 Pa 0.1961 0.5000 0.9996

# Sr2CoPt PBE relaxed
# Fermi-level density of states (states/eV per cell): 4.4
# V (Å³ per atom): 27.7
# Formation enthalpy at 0 K (kJ/mol of atoms): 1.7
data_Sr2CoPt
_space_group_name_H-M_alt 'P 4 m m'
_space_group_IT_number 99
_cell_length_a 3.5666
_cell_length_b 3.5666
_cell_length_c 8.7064
_cell_angle_alpha 90.00
_cell_angle_beta 90.00
_cell_angle_gamma 90.00
loop_
_space_group_symop_operation_xyz
'x,y,z'
'-y,x,z'
'-x,-y,z'
'y,-x,z'
'-x,y,z'
'y,x,z'
'x,-y,z'
'-y,-x,z'
loop_
_atom_site_label
_atom_site_type_symbol
_atom_site_fract_x
_atom_site_fract_y
_atom_site_fract_z
Sr1 Sr 0.0000 0.0000 0.0000
Sr2 Sr 0.5000 0.5000 0.4213
Co1 Co 0.0000 0.0000 0.6791
Pt1 Pt 0.5000 0.5000 0.7566

# RbVZn2 PBE relaxed
# Fermi-level density of states (states/eV per cell): 12.5
# V (Å³ per atom): 25.1
# Formation enthalpy at 0 K (kJ/mol of atoms): 81.7
data_RbVZn2
_space_group_name_H-M_alt 'F m -3 m'
_space_group_IT_number 225
_space_group_name_Hall '-F 4 2 3'
_cell_length_a 7.3738
_cell_length_b 7.3738
_cell_length_c 7.3738
_cell_angle_alpha 90.00
_cell_angle_beta 90.00
_cell_angle_gamma 90.00
loop_
_atom_site_label
_atom_site_type_symbol
_atom_site_fract_x
_atom_site_fract_y
_atom_site_fract_z
Rb1 Rb 0.0000 0.0000 0.0000
V1 V 0.0000 0.0000 0.5000
Zn1 Zn 0.2500 0.2500 0.2500

# Ni4Rh PBE relaxed
# Fermi-level density of states (states/eV per cell): 46.4
# V (Å³ per atom): 12.0
# Formation enthalpy at 0 K (kJ/mol of atoms): 17.6
data_Ni4Rh
_space_group_name_H-M_alt 'F m m m'
_space_group_IT_number 69
_space_group_name_Hall '-F 2 2'
_cell_length_a 2.6053
_cell_length_b 4.3250
_cell_length_c 21.2155
_cell_angle_alpha 90.00
_cell_angle_beta 90.00
_cell_angle_gamma 90.00
loop_
_atom_site_label
_atom_site_type_symbol
_atom_site_fract_x
_atom_site_fract_y
_atom_site_fract_z
Ni1 Ni 0.0000 0.0000 0.1051
Ni2 Ni 0.0000 0.0000 0.2984
Rh1 Rh 0.0000 0.0000 0.5000

# ErPdF5 PBE relaxed
# Formation energy without anion corrections (eV per atom): -2.8291
# V (Å³ per atom): 17.7
data_ErPdF5
_space_group_name_H-M_alt 'P -1'
_space_group_IT_number 2
_cell_length_a 4.3205
_cell_length_b 5.3285
_cell_length_c 5.7905
_cell_angle_alpha 91.92
_cell_angle_beta 99.41
_cell_angle_gamma 109.08
loop_
_space_group_symop_operation_xyz
'x,y,z'
'-x,-y,-z'
loop_
_atom_site_label
_atom_site_type_symbol
_atom_site_fract_x
_atom_site_fract_y
_atom_site_fract_z
Er1 Er 0.0000 0.0000 0.0000
Pd1 Pd 0.0000 0.5000 0.5000
F1 F 0.0995 0.3455 0.8017
F2 F 0.1698 0.2527 0.3303
F3 F 0.5000 0.0000 0.0000

# BiMo2IrCl PBE relaxed
# Formation energy without anion corrections (eV per atom): 1.5007
# Fermi-level density of states (states/eV per cell): 8.7
# V (Å³ per atom): 20.2
data_BiMo2IrCl
_space_group_name_H-M_alt 'P 4/m m m'
_space_group_IT_number 123
_space_group_name_Hall '-P 4 2'
_cell_length_a 4.3654
_cell_length_b 4.3654
_cell_length_c 5.3023
_cell_angle_alpha 90.00
_cell_angle_beta 90.00
_cell_angle_gamma 90.00
loop_
_atom_site_label
_atom_site_type_symbol
_atom_site_fract_x
_atom_site_fract_y
_atom_site_fract_z
Bi1 Bi 0.0000 0.0000 0.0000
Mo1 Mo 0.0000 0.5000 0.5000
Ir1 Ir 0.5000 0.5000 0.0000
Cl1 Cl 0.0000 0.0000 0.5000

# KHg3Pd PBE relaxed
# Fermi-level density of states (states/eV per cell): 0.6
# V (Å³ per atom): 33.5
# Formation enthalpy at 0 K (kJ/mol of atoms): -14.3
data_KHg3Pd
_space_group_name_H-M_alt 'I -4 m 2'
_space_group_IT_number 119
_space_group_name_Hall 'I -4 -2'
_cell_length_a 6.1079
_cell_length_b 6.1079
_cell_length_c 17.9560
_cell_angle_alpha 90.00
_cell_angle_beta 90.00
_cell_angle_gamma 90.00
loop_
_atom_site_label
_atom_site_type_symbol
_atom_site_fract_x
_atom_site_fract_y
_atom_site_fract_z
K1 K 0.0000 0.0000 0.1768
Hg1 Hg 0.0000 0.2417 0.3721
Hg2 Hg 0.0000 0.5000 0.5352
Pd1 Pd 0.0000 0.0000 0.5000
Pd2 Pd 0.0000 0.5000 0.2500